Entry 1:
Crystalline LiLa2GaIr at its relaxed geometry, computed with PBE.

Lattice parameters (Å, degrees): 5.5080 5.5080 4.7671 90.00 90.00 90.00
Atoms (fractional coordinates):
La 0.0000 0.5000 0.0000
La 0.5000 0.0000 0.0000
Ga 0.5000 0.5000 0.5000
Li 0.0000 0.0000 0.5000
Ir 0.0000 0.0000 0.0000

Summary:
SG = P4/mmm, No. 123
energy relative to the lowest polymorph listed for this composition = 69 meV per atom
energy of formation = -293 meV/atom
VASP energy = -0.369 Ry per atom
mass density = 6.28 Mg/m³



Entry 2:
Crystalline LaMgGa2Ir2 at its relaxed geometry, computed with PBE.

Lattice parameters (Å, degrees): 4.3884 4.3884 6.9613 90.00 90.00 120.00
Atoms (fractional coordinates):
Ga 0.6667 0.3333 0.6881
Ga 0.3333 0.6667 0.3119
Ir 0.6667 0.3333 0.2972
Ir 0.3333 0.6667 0.7028
Mg 0.0000 0.0000 0.5000
La 0.0000 0.0000 0.0000

Summary:
SG = P-3m1, No. 164
energy of formation = -657 meV/atom
VASP energy = -0.419 Ry per atom
mass density = 9.83 Mg/m³



Entry 3:
Crystalline La2MgGa3Ir4 at its relaxed geometry, computed with PBE.

Lattice parameters (Å, degrees): 4.2657 4.2657 10.7425 90.00 90.00 90.00
Atoms (fractional coordinates):
Ir 0.0000 0.5000 0.3563
Ir 0.5000 0.0000 0.6437
Ir 0.0000 0.0000 0.0000
Ir 0.5000 0.5000 0.0000
Mg 0.5000 0.5000 0.5000
La 0.0000 0.5000 0.7612
La 0.5000 0.0000 0.2388
Ga 0.5000 0.0000 0.8779
Ga 0.0000 0.5000 0.1221
Ga 0.0000 0.0000 0.5000

Summary:
SG = P-4m2, No. 115
energy of formation = -692 meV/atom
VASP energy = -0.462 Ry per atom
mass density = 10.87 Mg/m³